Computed, not measured: crystalline MgTe2Ir at its relaxed geometry at the GGA-PBE level of DFT.

```
4
Lattice="4.990 0.011 0.018 -1.883 4.610 0.018 1.225 2.495 4.127" Properties=species:S:1:pos:R:3 pbc="T T T"
Ir -0.329 3.553 2.073
Mg 1.554 2.311 0.018
Te 0.000 0.000 0.000
Te 3.107 1.253 2.072
```

Space group   No. 12
VASP energy   -4.09 eV per atom
ΔE_f (raw)   0.092 eV per atom
Crystal system   monoclinic
V   23.66 A^3/atom



Computed, not measured: crystalline Mg2TeIr at its relaxed geometry at the GGA-PBE level of DFT.

```
4
Lattice="-0.286 5.358 -4.199 -0.493 0.564 -6.772 -2.112 -2.101 6.128" Properties=species:S:1:pos:R:3 pbc="T T T"
Ir -1.500 0.729 -3.096
Mg -0.056 0.426 -0.789
Mg -1.388 3.065 -1.697
Te -0.337 2.562 -4.747
```

Space group   No. 44
VASP energy   -4.12 eV per atom
ΔE_f (raw)   -0.319 eV per atom
Crystal system   orthorhombic
V   21.64 A^3/atom



Computed, not measured: crystalline MgTe3Ir at its relaxed geometry at the GGA-PBE level of DFT.

```
5
Lattice="5.301 0.000 0.000 0.000 5.301 0.000 0.000 0.000 5.301" Properties=species:S:1:pos:R:3 pbc="T T T"
Mg 2.650 2.650 2.650
Ir 0.000 0.000 0.000
Te 0.000 2.650 0.000
Te 0.000 0.000 2.650
Te 2.650 0.000 0.000
```

Space group   No. 221
VASP energy   -3.63 eV per atom
ΔE_f (raw)   0.351 eV per atom
Crystal system   cubic
V   29.79 A^3/atom



Which value of V does entry 3 give?
29.79 A^3/atom